# TlVCrF6 PBE with a Hubbard U relaxed
# V (Å³/cell): 607.0
# E (eV per cell): -206.10
# Total magnetic moment (μB per formula unit): 6.00
data_TlVCrF6
_chemical_formula_sum 'Tl4 V4 Cr4 F24'
_cell_length_a 7.259
_cell_length_b 7.754
_cell_length_c 10.784
_cell_angle_alpha 90.00
_cell_angle_beta 90.00
_cell_angle_gamma 90.00
_symmetry_space_group_name_H-M 'I m m a'
_symmetry_Int_Tables_number 74
_symmetry_space_group_name_Hall '-I 2b 2'
loop_
_atom_site_label
_atom_site_fract_x
_atom_site_fract_y
_atom_site_fract_z
_atom_site_occupancy
Tl1 0.000 0.250 0.109 1
V1 0.000 0.000 0.500 1
Cr1 0.250 0.250 0.750 1
F1 0.000 0.250 0.451 1
F2 0.000 0.250 0.829 1
F3 0.193 0.035 0.624 1